Here is a relaxed structure of Sr8SN4 from Alexandria. Energies are from PBE.

Properties
**Formation energy from raw total energies**: -0.74 eV per atom
**Calculated total energy**: -4.653 eV/atom

a b c (Å): 11.352 11.352 11.352
angles (deg): 90.00 90.00 90.00
Space group F-43m (No. 216)
Symmetry-distinct sites (fractional):
1 Sr 0.107 0.107 0.107 x16
2 Sr 0.141 0.141 0.641 x16
3 S 0.250 0.250 0.250 x4
4 N 0.127 0.127 0.873 x16

=====

Here is a relaxed structure of YMn2Rh from Alexandria. Energies are from PBE.

Properties
**Formation energy from the elements**: 122 meV per atom
**Calculated total energy**: -7.917 eV/atom

a b c (Å): 3.114 4.004 5.716
angles (deg): 90.00 90.00 90.00
Space group Pmmm (No. 47)
Symmetry-distinct sites (fractional):
1 Y 0.000 0.000 0.000 x1
2 Mn 0.500 0.500 0.278 x2
3 Rh 0.000 0.000 0.500 x1

=====

Here is a relaxed structure of LiInHg6Pb from Alexandria. Energies are from PBE.

Properties
**Formation energy from the elements**: -23 meV per atom
**Calculated total energy**: -1.153 eV/atom

a b c (Å): 7.667 10.268 12.117
angles (deg): 90.00 90.00 90.00
Space group Imma (No. 74)
Symmetry-distinct sites (fractional):
1 Li 0.000 0.000 0.000 x4
2 In 0.250 0.250 0.250 x4
3 Hg 0.000 0.250 0.055 x4
4 Hg 0.000 0.250 0.469 x4
5 Hg 0.205 0.033 0.625 x16
6 Pb 0.000 0.250 0.792 x4

=====

Here is a relaxed structure of CsSmAgO3 from Alexandria. Energies are from PBE.

Properties
**Formation energy from raw total energies**: -1.63 eV per atom
**Calculated total energy**: -5.509 eV/atom

a b c (Å): 8.139 3.809 8.880
angles (deg): 90.00 104.63 90.00
Space group P2_1/m (No. 11)
Symmetry-distinct sites (fractional):
1 Cs 0.186 0.250 0.209 x2
2 Sm 0.355 0.750 0.860 x2
3 Ag 0.110 0.250 0.603 x2
4 O 0.165 0.250 0.861 x2
5 O 0.205 0.750 0.581 x2
6 O 0.461 0.750 0.123 x2

=====

Here is a relaxed structure of K2BeMo from Alexandria. Energies are from PBE.

Properties
**Formation energy from the elements**: 1620 meV per atom
**Calculated total energy**: -2.568 eV/atom

a b c (Å): 3.765 5.330 5.790
angles (deg): 90.00 90.00 90.00
Space group Pmmm (No. 47)
Symmetry-distinct sites (fractional):
1 K 0.000 0.000 0.245 x2
2 Be 0.500 0.500 0.000 x1
3 Mo 0.500 0.500 0.500 x1

=====

Here is a relaxed structure of ErTm2Rh from Alexandria. Energies are from PBE.

Properties
**Energy above the lowest structure with this stoichiometry**: 0 meV/atom
**Formation energy from the elements**: -565 meV per atom
**Calculated total energy**: -5.779 eV/atom

a b c (Å): 7.100 9.249 6.260
angles (deg): 90.00 90.00 90.00
Space group Pnma (No. 62)
Symmetry-distinct sites (fractional):
1 Er 0.034 0.250 0.132 x4
2 Tm 0.178 0.063 0.673 x8
3 Rh 0.115 0.750 0.449 x4